A plane-wave DFT calculation with PBE was carried out for an optimized crystal structure of LaMo2Se.

Calculated values
Formation energy without anion corrections   0.082 eV/atom
Fermi-level density of states   2.6 states/eV/f.u.
SG   No. 160
Total DFT energy (no corrections)   -7.436 eV/atom

Cell lengths 8.3769, 8.3769, 8.3769 Å; angles 24.15, 24.15, 24.15 degrees
Element x y z (fractional)
La (0.7501, 0.7501, 0.7501)
Mo (0.9847, 0.9847, 0.9847)
Mo (0.2527, 0.2527, 0.2527)
Se (0.5126, 0.5126, 0.5126)